(1)
DFT (GGA-PBE) results for a relaxed structure of TiZnH.

Unit cell a=9.3896 b=9.3896 c=9.3896 alpha=18.17 beta=18.17 gamma=18.17
With the nearest neighbours (Å) after each atom.
Element x y z (fractional)
Ti1 0.2158 0.2158 0.2158  4 H 1.88-1.94
Ti2 0.7842 0.7842 0.7842  4 H 1.88-1.94
Zn1 0.3716 0.3716 0.3716  9 Zn 2.73-2.96, 3 Ti 2.78
Zn2 0.6284 0.6284 0.6284  9 Zn 2.73-2.96, 3 Ti 2.78
H1 0.1456 0.1456 0.1456  4 Ti 1.88-1.94, 3 H 2.07
H2 0.8544 0.8544 0.8544  4 Ti 1.88-1.94, 3 H 2.07

## Properties
- crystal system = trigonal
- final energy (eV per atom) = -4.428
- space-group type = R-3m, No. 166



(2)
DFT (GGA-PBE) results for a relaxed structure of Ti3ZnH.

Unit cell a=7.3603 b=7.3603 c=6.9992 alpha=102.86 beta=102.86 gamma=22.12
With the nearest neighbours (Å) after each atom.
Element x y z (fractional)
Ti1 0.0175 0.0175 0.1795  2 H 2.00
Ti2 0.1061 0.1061 0.5762  2 H 1.97
Ti3 0.3408 0.3408 0.0376  1 H 1.91
Ti4 0.6592 0.6592 0.9624  1 H 1.91
Ti5 0.8939 0.8939 0.4238  2 H 1.97
Ti6 0.9825 0.9825 0.8205  2 H 2.00
Zn1 0.2216 0.2216 0.3148  7 Ti 2.74-2.89, 4 Zn 2.82-2.90
Zn2 0.7784 0.7784 0.6852  7 Ti 2.74-2.89, 4 Zn 2.82-2.90
H1 0.4397 0.4397 0.2709  5 Ti 1.91-2.00
H2 0.5603 0.5603 0.7291  5 Ti 1.91-2.00

## Properties
- crystal system = monoclinic
- final energy (eV per atom) = -5.729
- space-group type = C2/m, No. 12



(3)
DFT (GGA-PBE) results for a relaxed structure of TiZnH.

Unit cell a=3.0149 b=3.0149 c=4.5340 alpha=90.00 beta=90.00 gamma=120.00
With the nearest neighbours (Å) after each atom.
Element x y z (fractional)
Ti1 0.0000 0.0000 0.0000  3 H 1.82
Zn1 0.3333 0.6667 0.5154  3 H 2.50
H1 0.6667 0.3333 0.1207  3 Ti 1.82

## Properties
- crystal system = trigonal
- final energy (eV per atom) = -4.370
- space-group type = P3m1, No. 156



(4)
DFT (GGA-PBE) results for a relaxed structure of Ti3ZnH.

Unit cell a=7.1033 b=7.1033 c=7.1033 alpha=42.68 beta=42.68 gamma=42.68
With the nearest neighbours (Å) after each atom.
Element x y z (fractional)
Ti1 0.1155 0.7751 0.4373  2 H 2.03-2.09
Ti2 0.2249 0.5627 0.8845  2 H 2.03-2.09
Ti3 0.4373 0.1155 0.7751  2 H 2.03-2.09
Ti4 0.5627 0.8845 0.2249  2 H 2.03-2.09
Ti5 0.7751 0.4373 0.1155  2 H 2.03-2.09
Ti6 0.8845 0.2249 0.5627  2 H 2.03-2.09
Zn1 0.3326 0.3326 0.3326  6 Ti 2.73-2.74, 3 Zn 2.98
Zn2 0.6674 0.6674 0.6674  6 Ti 2.73-2.74, 3 Zn 2.98
H1 0.1656 0.1656 0.1656  6 Ti 2.03-2.09
H2 0.8344 0.8344 0.8344  6 Ti 2.03-2.09

## Properties
- crystal system = trigonal
- final energy (eV per atom) = -5.665
- space-group type = R-3, No. 148



(5)
DFT (GGA-PBE) results for a relaxed structure of Ti3ZnH.

Unit cell a=7.3770 b=7.3770 c=5.0884 alpha=90.85 beta=90.85 gamma=101.14
With the nearest neighbours (Å) after each atom.
Element x y z (fractional)
Ti1 0.0607 0.6929 0.9386  1 H 2.05
Ti2 0.1811 0.5621 0.3929  2 H 2.04-2.16
Ti3 0.3024 0.4393 0.8906  3 H 2.02-2.17
Ti4 0.3071 0.9393 0.5614  1 H 2.05
Ti5 0.4379 0.8189 0.1071  2 H 2.04-2.16
Ti6 0.4393 0.3024 0.3906  3 H 2.02-2.17
Ti7 0.5607 0.6976 0.6094  3 H 2.02-2.17
Ti8 0.5621 0.1811 0.8929  2 H 2.04-2.16
Ti9 0.6929 0.0607 0.4386  1 H 2.05
Ti10 0.6976 0.5607 0.1094  3 H 2.02-2.17
Ti11 0.8189 0.4379 0.6071  2 H 2.04-2.16
Ti12 0.9393 0.3071 0.0614  1 H 2.05
Zn1 0.0691 0.1880 0.5640  8 Ti 2.77-2.92, 4 Zn 2.83-3.10
Zn2 0.1880 0.0691 0.0640  8 Ti 2.77-2.92, 4 Zn 2.83-3.10
Zn3 0.8120 0.9309 0.9360  8 Ti 2.77-2.92, 4 Zn 2.83-3.10
Zn4 0.9309 0.8120 0.4360  8 Ti 2.77-2.92, 4 Zn 2.83-3.10
H1 0.3052 0.6948 0.7500  6 Ti 2.02-2.16
H2 0.4382 0.5618 0.2500  6 Ti 2.04-2.17
H3 0.5618 0.4382 0.7500  6 Ti 2.04-2.17
H4 0.6948 0.3052 0.2500  6 Ti 2.02-2.16

## Properties
- crystal system = monoclinic
- final energy (eV per atom) = -5.801
- space-group type = C2/c, No. 15



(6)
DFT (GGA-PBE) results for a relaxed structure of TiZnH2.

Unit cell a=5.4297 b=5.4297 c=5.4297 alpha=135.45 beta=135.45 gamma=64.83
With the nearest neighbours (Å) after each atom.
Element x y z (fractional)
Ti1 0.0000 0.0000 0.0000  4 H 1.81
Ti2 0.7500 0.2500 0.5000  4 H 1.81
Zn1 0.2500 0.7500 0.5000  4 H 1.89
Zn2 0.5000 0.5000 0.0000  4 H 1.89
H1 0.1081 0.6250 0.9831  2 Ti 1.81, 2 Zn 1.89
H2 0.3750 0.3581 0.4831  2 Ti 1.81, 2 Zn 1.89
H3 0.6419 0.1250 0.0169  2 Ti 1.81, 2 Zn 1.89
H4 0.8750 0.8919 0.5169  2 Ti 1.81, 2 Zn 1.89

## Properties
- crystal system = tetragonal
- final energy (eV per atom) = -4.002
- space-group type = I-42d, No. 122



Q: Which V values were calculated for the entries above? A: 70; 139; 36; 149; 272; 78, in Å³/cell.
Q: Which ρ values were calculated for the entries above? A: 5.401; 5.015; 5.317; 4.675; 5.136; 4.930, in g/cm3.